A relaxed TbTh2Sc crystal, computed with GGA-PBE.

Cell: 3.4084 3.4084 36.5580 Å, 90.00 90.00 120.00°
Closest atoms and distances in Å follow each position.
Space group R-3m (No. 166, hexagonal axes)
Symmetry-distinct sites (fractional):
Tb: 0.0000 0.0000 0.0000 (multiplicity 3)  2 Th 3.26, 6 Tb 3.41
Th: 0.0000 0.0000 0.0891 (multiplicity 6)  1 Tb 3.26, 6 Th 3.41, 3 Sc 3.45
Sc: 0.0000 0.0000 0.5000 (multiplicity 3)  6 Sc 3.41, 6 Th 3.45

**E**: -6.239 eV per atom
**Fermi-level density of states**: 13.57 states/eV/cell
**Polymorph energy (0 for the lowest one)**: 0.167 eV/atom


A relaxed LaScBr2 crystal, computed with GGA-PBE.

Cell: 10.0443 3.7142 6.0769 Å, 90.00 92.41 90.00°
Closest atoms and distances in Å follow each position.
Space group C2/m (No. 12)
Symmetry-distinct sites (fractional):
La: 0.0000 0.0000 0.0000 (multiplicity 2)  6 Br 3.15-3.30
Sc: 0.0000 0.5000 0.5000 (multiplicity 2)  2 Br 2.69
Br: 0.2121 0.5000 0.2437 (multiplicity 4)  1 Sc 2.69

**E**: -4.646 eV per atom
**Fermi-level density of states**: 5.10 states/eV/cell
**Formation energy without anion corrections**: -1.00 eV/atom
**Polymorph energy (0 for the lowest one)**: 0.115 eV/atom


A relaxed Al2Zn2Sn crystal, computed with GGA-PBE.

Cell: 4.0565 4.0565 11.6668 Å, 90.00 90.00 90.00°
Closest atoms and distances in Å follow each position.
Space group I4/mmm (No. 139)
Symmetry-distinct sites (fractional):
Al: 0.0000 0.5000 0.2500 (multiplicity 4)  4 Zn 2.64, 4 Al 2.87
Zn: 0.0000 0.0000 0.1056 (multiplicity 4)  1 Zn 2.46, 4 Al 2.64
Sn: 0.0000 0.0000 0.5000 (multiplicity 2)  8 Zn 3.12

**E**: -2.721 eV per atom
**Fermi-level density of states**: 3.43 states/eV/cell
**Polymorph energy (0 for the lowest one)**: 0.000 eV/atom


The lowest E belongs to which entry? TbTh2Sc


What is the formula in the first record? TbTh2Sc


Copy entry 3 word for word.
A relaxed Al2Zn2Sn crystal, computed with GGA-PBE.

Cell: 4.0565 4.0565 11.6668 Å, 90.00 90.00 90.00°
Closest atoms and distances in Å follow each position.
Space group I4/mmm (No. 139)
Symmetry-distinct sites (fractional):
Al: 0.0000 0.5000 0.2500 (multiplicity 4)  4 Zn 2.64, 4 Al 2.87
Zn: 0.0000 0.0000 0.1056 (multiplicity 4)  1 Zn 2.46, 4 Al 2.64
Sn: 0.0000 0.0000 0.5000 (multiplicity 2)  8 Zn 3.12

**E**: -2.721 eV per atom
**Fermi-level density of states**: 3.43 states/eV/cell
**Polymorph energy (0 for the lowest one)**: 0.000 eV/atom


Among the records above, which one has the highest E? Al2Zn2Sn